K3Na2SnBi3 GGA-PBEsol optimized geometry; total magnetization = 0.00 μB/f.u.; total DFT energy (no corrections) = -106.55 eV per cell; density = 4.673 g cm⁻³
1.0
-6.653 2.416 0.709
-4.992 0.595 -13.187
-8.124 -11.426 -1.616
Na Bi K Sn
8 12 12 4
Cartesian
-14.024 -3.266 -13.416
-7.505 2.069 -6.109
-5.745 -5.149 -0.678
-13.001 -1.170 -10.961
-12.264 -10.484 -7.985
-6.768 -7.245 -3.133
-11.241 -8.388 -5.531
-8.528 -0.027 -8.563
-12.651 -7.837 -2.795
-17.760 -8.446 -10.179
-13.578 -6.369 -13.695
-10.679 -3.220 -2.833
-11.085 -1.827 -8.580
-9.090 -5.196 -11.261
-13.272 -7.272 -7.745
-6.191 -2.046 -0.399
-8.684 -6.588 -5.514
-2.009 0.030 -3.915
-7.118 -0.578 -11.299
-6.497 -1.143 -6.349
-9.546 -9.896 -2.331
-7.980 -3.885 -8.116
-12.595 -4.781 -10.309
-14.175 -8.889 -11.139
-10.014 -0.561 -5.226
-17.015 -5.815 -12.580
-7.174 -3.634 -3.785
-5.594 0.473 -2.955
-11.789 -4.530 -5.978
-10.223 1.480 -11.763
-2.754 -2.600 -1.514
-9.755 -7.854 -8.868
-10.135 -6.121 -2.876
-9.634 -2.294 -11.218
-14.526 -7.097 -5.078
-5.243 -1.319 -9.016